This record from the Alexandria database describes a geometry-optimized Tb2Er3In structure. The functional is GGA-PBE.

POSCAR file:
```
Tb2Er3In
1.0
3.3570 0.0000 0.0000
0.0000 11.5129 0.0000
-1.6785 -5.7565 4.9415
Er In Tb
3 1 2
direct
0.3387 0.3291 0.6773
0.0000 0.0215 0.0000
0.6613 0.6518 0.3227
0.5000 0.2570 0.0000
0.8279 0.5697 0.6558
0.1721 0.9139 0.3442
```

Calculated values
Mass density   8.12 g/cm³
Formation energy from the elements   0.28 eV per atom

---

This record from the Alexandria database describes a geometry-optimized TbEr6In structure. The functional is GGA-PBE.

POSCAR file:
```
TbEr6In
1.0
6.3660 -0.7052 -1.3114
-3.0229 5.6466 -1.3114
-1.8763 -2.7734 8.5638
Er In Tb
6 1 1
direct
0.7548 0.3200 0.7517
0.6800 0.2452 0.2483
0.2452 0.6800 0.2483
0.8119 0.8119 0.2481
0.3200 0.7548 0.7517
0.1881 0.1881 0.7519
0.0000 0.0000 0.0000
0.5000 0.5000 0.5000
```

Calculated values
Mass density   8.84 g/cm³
Formation energy from the elements   0.06 eV per atom

---

This record from the Alexandria database describes a geometry-optimized Tb2Er5In structure. The functional is GGA-PBE.

POSCAR file:
```
Tb2Er5In
1.0
-8.0580 -0.2640 -1.6950
-1.4286 -0.4904 6.8738
4.8922 4.4706 -2.2661
Er Tb In
5 2 1
direct
0.7223 0.7614 0.0232
0.2230 0.6692 0.8628
0.7532 0.7806 0.5608
0.2230 0.1937 0.8627
0.7218 0.2615 0.0229
0.6904 0.2498 0.4992
0.2222 0.6741 0.3492
0.2211 0.1867 0.3732
```

Calculated values
Mass density   8.88 g/cm³
Formation energy from the elements   -0.11 eV per atom

---

This record from the Alexandria database describes a geometry-optimized Tb4Er7In structure. The functional is GGA-PBE.

POSCAR file:
```
Tb4Er7In
1.0
5.8005 0.0000 0.0000
2.9002 11.1369 -0.0373
2.9002 0.4781 6.0052
Er Tb In
7 4 1
direct
0.6308 0.5226 0.2158
0.2008 0.0796 0.5188
0.0972 0.7207 0.0849
0.7992 0.9204 0.4812
0.3692 0.4774 0.7842
0.9028 0.2793 0.9151
0.5000 0.0000 0.0000
0.1534 0.3754 0.3179
0.8466 0.6246 0.6821
0.6280 0.2304 0.5137
0.3720 0.7696 0.4863
0.0000 0.0000 0.0000
```

Calculated values
Mass density   8.22 g/cm³
Formation energy from the elements   0.20 eV per atom

---

Please write out number 4 again, unchanged.
This record from the Alexandria database describes a geometry-optimized Tb4Er7In structure. The functional is GGA-PBE.

POSCAR file:
```
Tb4Er7In
1.0
5.8005 0.0000 0.0000
2.9002 11.1369 -0.0373
2.9002 0.4781 6.0052
Er Tb In
7 4 1
direct
0.6308 0.5226 0.2158
0.2008 0.0796 0.5188
0.0972 0.7207 0.0849
0.7992 0.9204 0.4812
0.3692 0.4774 0.7842
0.9028 0.2793 0.9151
0.5000 0.0000 0.0000
0.1534 0.3754 0.3179
0.8466 0.6246 0.6821
0.6280 0.2304 0.5137
0.3720 0.7696 0.4863
0.0000 0.0000 0.0000
```

Calculated values
Mass density   8.22 g/cm³
Formation energy from the elements   0.20 eV per atom

---

Q: What is the mass density in the fourth record?
A: 8.22 g/cm³

---

Q: Among the records above, which one has the lowest mass density?
A: Tb2Er3In